Compound: ZrPaTa4
Source: Alexandria via LeMat-Bulk
Functional: PBE
Structure: relaxed

## Properties
* calculated density: 13.82 Mg/m³
* space-group type: F-43m (216)
* density of states at the Fermi level: 9.38 states/eV/cell
* E_form: 0.551 eV/f.u.
* total magnetization: 0.0 μB per formula unit

abc: 5.623 5.623 5.623
angles: 60.00 60.00 60.00
Atoms (fractional coordinates):
Ta: 0.127 0.624 0.624
Ta: 0.624 0.624 0.127
Ta: 0.624 0.127 0.624
Ta: 0.624 0.624 0.624
Zr: 0.000 0.000 0.000
Pa: 0.250 0.250 0.250